1.
SmVGa PBE-GGA optimized geometry; space-group type = P-62m; formation enthalpy at 0 K = -0.160 eV/atom; N(E_F) = 1.001 states/eV/atom; calculated total energy = -5.782 eV/atom
1.0
6.961 0.000 0.000
-3.480 6.028 0.000
0.000 0.000 4.505
Sm V Ga
3 3 3
Direct
0.000 0.575 0.000 Sm
0.425 0.425 0.000 Sm
0.575 0.000 0.000 Sm
0.000 0.199 0.500 V
0.199 0.000 0.500 V
0.801 0.801 0.500 V
0.000 0.000 0.000 Ga
0.333 0.667 0.500 Ga
0.667 0.333 0.500 Ga


2.
CePmGdAl PBE-GGA optimized geometry; space-group type = F-43m; formation enthalpy at 0 K = -0.006 eV/atom; N(E_F) = 1.820 states/eV/atom; calculated total energy = -7.133 eV/atom
1.0
0.000 3.785 3.785
3.785 0.000 3.785
3.785 3.785 0.000
Ce Pm Gd Al
1 1 1 1
Direct
0.000 0.000 0.000 Ce
0.250 0.250 0.250 Pm
0.750 0.750 0.750 Gd
0.500 0.500 0.500 Al